{
  "formula": "TmZrCuNi",
  "functional": "PBE",
  "state": "optimized geometry",
  "volume_a3_per_atom": 18.09,
  "delta_e_f_ev_per_atom": -0.26,
  "lattice_angstrom": [[0.0000, 3.3072, 3.3072], [3.3072, 0.0000, 3.3072], [3.3072, 3.3072, 0.0000]],
  "species": ["Tm", "Zr", "Cu", "Ni"],
  "fractional_positions": [[0.0000, 0.0000, 0.0000], [0.5000, 0.5000, 0.5000], [0.2500, 0.2500, 0.2500], [0.7500, 0.7500, 0.7500]]
}


{
  "formula": "Pm3TaGe5",
  "functional": "PBE",
  "state": "optimized geometry",
  "volume_a3_per_atom": 22.07,
  "delta_e_f_ev_per_atom": -0.61,
  "lattice_angstrom": [[8.8476, 0.0000, 0.0000], [-4.4238, 7.6622, 0.0000], [0.0000, 0.0000, 5.8609]],
  "species": ["Pm", "Pm", "Pm", "Pm", "Pm", "Pm", "Ta", "Ta", "Ge", "Ge", "Ge", "Ge", "Ge", "Ge", "Ge", "Ge", "Ge", "Ge"],
  "fractional_positions": [[0.0000, 0.3848, 0.2500], [0.0000, 0.6152, 0.7500], [0.3848, 0.0000, 0.2500], [0.3848, 0.3848, 0.7500], [0.6152, 0.0000, 0.7500], [0.6152, 0.6152, 0.2500], [0.0000, 0.0000, 0.0000], [0.0000, 0.0000, 0.5000], [0.0000, 0.2580, 0.7500], [0.0000, 0.7420, 0.2500], [0.2580, 0.0000, 0.7500], [0.2580, 0.2580, 0.2500], [0.3333, 0.6667, 0.0000], [0.3333, 0.6667, 0.5000], [0.6667, 0.3333, 0.0000], [0.6667, 0.3333, 0.5000], [0.7420, 0.0000, 0.2500], [0.7420, 0.7420, 0.7500]]
}


{
  "formula": "YBe2Co",
  "functional": "PBE",
  "state": "optimized geometry",
  "volume_a3_per_atom": 14.09,
  "delta_e_f_ev_per_atom": 0.26,
  "polymorph_energy_mev_per_atom": 451,
  "lattice_angstrom": [[0.0000, 3.0434, 3.0434], [3.0434, 0.0000, 3.0434], [3.0434, 3.0434, 0.0000]],
  "species": ["Y", "Be", "Be", "Co"],
  "fractional_positions": [[0.0000, 0.0000, 0.0000], [0.5000, 0.5000, 0.5000], [0.7500, 0.7500, 0.7500], [0.2500, 0.2500, 0.2500]]
}